# TlMoO

A relaxed structure of TlMoO (GGA+U, the Alexandria database).

It has space group P1 (No. 1), with a = 3.164 Å, b = 5.774 Å, c = 7.200 Å, α = 88.25°, β = 89.87° and γ = 74.10°. The inequivalent atoms are Tl at (0.000, 0.000, 0.000), Tl at (0.262, 0.472, 0.213), Mo at (0.154, 0.687, 0.615), Mo at (0.892, 0.210, 0.572), O at (0.524, 0.948, 0.521) and O at (0.747, 0.499, 0.732).

As for the crystal system: triclinic. The total energy is -5.113 eV per atom. As for the calculated density: 8.309 Mg/m³.